[1]
Below is crystalline Pr6AlTl5 at its relaxed geometry, with properties calculated at the GGA-PBE level.

Unit cell a=17.5119 b=7.7703 c=5.5416 alpha=90.00 beta=108.13 gamma=90.00
Space group C2/m (No. 12)
Asymmetric unit:
1 Pr 0.0000 0.2410 0.0000 [4 per cell]
2 Pr 0.1628 0.2451 0.6632 [8 per cell]
3 Al 0.0000 0.0000 0.5000 [2 per cell]
4 Tl 0.0000 0.5000 0.5000 [2 per cell]
5 Tl 0.1660 0.5000 0.1664 [4 per cell]
6 Tl 0.1716 0.0000 0.1722 [4 per cell]

## Properties
The calculation puts the electronic total energy at -4.065 eV/atom. As for the crystal system: monoclinic.



[2]
Below is crystalline CsLi2Se2 at its relaxed geometry, with properties calculated at the GGA-PBE level.

Unit cell a=8.5649 b=8.5649 c=3.2924 alpha=90.00 beta=90.00 gamma=90.00
Space group P4/mbm (No. 127)
Asymmetric unit:
1 Cs 0.0000 0.0000 0.0000 [2 per cell]
2 Li 0.1112 0.3888 0.0000 [4 per cell]
3 Se 0.1565 0.6565 0.5000 [4 per cell]

## Properties
The calculation puts the electronic total energy at -3.203 eV/atom. Its relative energy among the computed polymorphs is 0.25 eV/f.u. As for the crystal system: tetragonal. The uncorrected formation energy comes out at -0.87 eV per atom.



[3]
Below is crystalline Pm8Te4P3O at its relaxed geometry, with properties calculated at the GGA-PBE level.

Unit cell a=8.2811 b=8.2811 c=21.7169 alpha=90.00 beta=90.00 gamma=120.00
Space group R-3m (No. 166, hexagonal axes)
Asymmetric unit:
1 Pm 0.0000 0.0000 0.2373 [6 per cell]
2 Pm 0.0125 0.5062 0.2343 [18 per cell]
3 Te 0.0000 0.0000 0.0000 [3 per cell]
4 Te 0.0000 0.5000 0.0000 [9 per cell]
5 P 0.0000 0.5000 0.5000 [9 per cell]
6 O 0.0000 0.0000 0.5000 [3 per cell]

## Properties
The calculation puts the electronic total energy at -6.127 eV/atom. As for the crystal system: trigonal. The uncorrected formation energy comes out at -1.64 eV per atom.



[4]
Below is crystalline LiPaCoSb at its relaxed geometry, with properties calculated at the GGA-PBE level.

Unit cell a=6.5504 b=6.5504 c=6.5504 alpha=90.00 beta=90.00 gamma=90.00
Space group F-43m (No. 216)
Asymmetric unit:
1 Li 0.0000 0.0000 0.0000 [4 per cell]
2 Pa 0.2500 0.2500 0.2500 [4 per cell]
3 Co 0.0000 0.0000 0.5000 [4 per cell]
4 Sb 0.2500 0.2500 0.7500 [4 per cell]

## Properties
The calculation puts the electronic total energy at -5.897 eV/atom. As for the crystal system: cubic. The uncorrected formation energy comes out at -0.24 eV per atom.



[5]
Below is crystalline Cs3LiAu at its relaxed geometry, with properties calculated at the GGA-PBE level.

Unit cell a=7.0994 b=7.0994 c=7.0994 alpha=90.00 beta=90.00 gamma=90.00
Space group Pm-3m (No. 221)
Asymmetric unit:
1 Cs 0.0000 0.0000 0.5000 [3 per cell]
2 Li 0.5000 0.5000 0.5000 [1 per cell]
3 Au 0.0000 0.0000 0.0000 [1 per cell]

## Properties
The calculation puts the electronic total energy at -1.573 eV/atom. Its relative energy among the computed polymorphs is 0.00 eV/f.u. As for the crystal system: cubic.



[6]
Below is crystalline BaRuN2F at its relaxed geometry, with properties calculated at the GGA-PBE level.

Unit cell a=3.8779 b=3.8779 c=5.0177 alpha=90.00 beta=90.00 gamma=90.00
Space group P4/mmm (No. 123)
Asymmetric unit:
1 Ba 0.0000 0.0000 0.0000 [1 per cell]
2 Ru 0.5000 0.5000 0.5000 [1 per cell]
3 N 0.0000 0.5000 0.5000 [2 per cell]
4 F 0.5000 0.5000 0.0000 [1 per cell]

## Properties
The calculation puts the electronic total energy at -6.663 eV/atom. Its relative energy among the computed polymorphs is 0.00 eV/f.u. As for the crystal system: tetragonal. The uncorrected formation energy comes out at -0.72 eV per atom.



Number 1: DOS at the Fermi energy 17.6 states/eV per cell, density 8.78 g/cm3. Number 2: DOS at the Fermi energy 1.2 states/eV per cell, density 4.19 g/cm3. Number 3: DOS at the Fermi energy 18.7 states/eV per cell, density 6.87 g/cm3. Number 4: DOS at the Fermi energy 21.0 states/eV per cell, density 9.89 g/cm3. Number 5: DOS at the Fermi energy 8.8 states/eV per cell, density 2.80 g/cm3. Number 6: DOS at the Fermi energy 3.4 states/eV per cell, density 6.28 g/cm3.